This record from Alexandria describes crystalline LaAuBr2 at its relaxed geometry. The functional is PBE.

Lattice parameters (Å, degrees): 10.1401 10.1401 10.1401 22.30 22.30 22.30
Closest atoms and distances in Å follow each position.
Positions (direct):
Au 0.7500 0.7500 0.7500  6 Br 3.73, 6 Au 3.92
Br 0.9834 0.9834 0.9834  3 La 3.01
Br 0.5166 0.5166 0.5166  3 La 3.01
La 0.2500 0.2500 0.2500  6 Br 3.01

Raw formation energy: -0.778 eV per atom
Final energy: -0.135 hartree per atom
Density of states at the Fermi level: 2.87 states/eV per cell
SG: R-3m
Energy above the most stable polymorph in this dataset: 2.10 eV per formula unit